# 1
The following is a PBE calculation of a geometry-optimized HgSeBrN2 structure, from Alexandria via LeMat-Bulk.

Lattice parameters (Å, degrees): 3.8998 3.8998 8.0649 90.00 90.00 90.00
Sites, in units of the cell vectors:
Se: 0.0000 0.0000 0.5000
Hg: 0.5000 0.5000 0.5000
Br: 0.0000 0.0000 0.0000
N: 0.0000 0.5000 0.0000
N: 0.5000 0.0000 0.0000

Results
For the formation energy from raw total energies, the calculation gives 1.912 eV per atom. The calculation puts the magnetization at 1.1 μB/cell. The space-group type is P4/mmm, No. 123. The total energy comes out at -2.510 eV per atom. The calculation puts the energy above the most stable polymorph in this dataset at 0.0550 eV/atom.

***

# 2
The following is a PBE calculation of a geometry-optimized HgSeBrN2 structure, from Alexandria via LeMat-Bulk.

Lattice parameters (Å, degrees): 4.2888 6.3113 4.2888 90.00 90.00 90.00
Sites, in units of the cell vectors:
Se: 0.0000 0.5000 0.0000
Hg: 0.0000 0.0000 0.0000
Br: 0.5000 0.5000 0.5000
N: 0.0000 0.0000 0.5000
N: 0.5000 0.0000 0.0000

Results
For the formation energy from raw total energies, the calculation gives 1.856 eV per atom. The calculation puts the magnetization at 3.9 μB/cell. The space-group type is P4/mmm, No. 123. The total energy comes out at -2.565 eV per atom. The calculation puts the energy above the most stable polymorph in this dataset at 0.0000 eV/atom.

***

# 3
The following is a PBE calculation of a geometry-optimized HgTe2BrN structure, from Alexandria via LeMat-Bulk.

Lattice parameters (Å, degrees): 6.0978 6.0978 3.6585 90.00 90.00 90.00
Sites, in units of the cell vectors:
Te: 0.0000 0.5000 0.0000
Te: 0.5000 0.0000 0.0000
Hg: 0.5000 0.5000 0.5000
Br: 0.0000 0.0000 0.0000
N: 0.0000 0.0000 0.5000

Results
For the formation energy from raw total energies, the calculation gives 1.287 eV per atom. The calculation puts the magnetization at 0.0 μB/cell. The space-group type is P4/mmm, No. 123. The total energy comes out at -2.030 eV per atom. The calculation puts the energy above the most stable polymorph in this dataset at 0.0714 eV/atom.

***

# 4
The following is a PBE calculation of a geometry-optimized HgTe2BrN structure, from Alexandria via LeMat-Bulk.

Lattice parameters (Å, degrees): 5.9872 5.9872 4.0141 90.00 90.00 90.00
Sites, in units of the cell vectors:
Te: 0.0000 0.5000 0.0000
Te: 0.5000 0.0000 0.0000
Hg: 0.0000 0.0000 0.0000
Br: 0.5000 0.5000 0.5000
N: 0.0000 0.0000 0.5000

Results
For the formation energy from raw total energies, the calculation gives 1.215 eV per atom. The calculation puts the magnetization at 1.9 μB/cell. The space-group type is P4/mmm, No. 123. The total energy comes out at -2.101 eV per atom. The calculation puts the energy above the most stable polymorph in this dataset at 0.0000 eV/atom.

***

# 5
The following is a PBE calculation of a geometry-optimized Na3Hg5Br12 structure, from Alexandria via LeMat-Bulk.

Lattice parameters (Å, degrees): 15.2253 15.2253 15.2253 109.47 109.47 109.47
Sites, in units of the cell vectors:
Na: 0.7500 0.3750 0.1250
Na: 0.8750 0.7500 0.1250
Na: 0.3750 0.7500 0.6250
Na: 0.2500 0.1250 0.3750
Na: 0.8750 0.1250 0.2500
Na: 0.3750 0.6250 0.2500
Na: 0.6250 0.3750 0.7500
Na: 0.1250 0.8750 0.7500
Na: 0.7500 0.8750 0.6250
Na: 0.6250 0.2500 0.3750
Na: 0.1250 0.2500 0.8750
Na: 0.2500 0.6250 0.8750
Hg: 0.1250 0.3750 0.2500
Hg: 0.0000 0.5000 0.0000
Hg: 0.0000 0.0000 0.0000
Hg: 0.3750 0.2500 0.1250
Hg: 0.5000 0.0000 0.5000
Hg: 0.5000 0.5000 0.0000
Hg: 0.1250 0.7500 0.3750
Hg: 0.7500 0.1250 0.8750
Hg: 0.7500 0.6250 0.3750
Hg: 0.3750 0.1250 0.7500
Hg: 0.6250 0.8750 0.2500
Hg: 0.5000 0.5000 0.5000
Hg: 0.5000 0.0000 0.0000
Hg: 0.0000 0.0000 0.5000
Hg: 0.2500 0.3750 0.6250
Hg: 0.2500 0.8750 0.1250
Hg: 0.0000 0.5000 0.5000
Hg: 0.8750 0.2500 0.6250
Hg: 0.6250 0.7500 0.8750
Hg: 0.8750 0.6250 0.7500
Br: 0.7136 0.1287 0.0374
Br: 0.3238 0.5374 0.4086
Br: 0.9626 0.3713 0.2864
Br: 0.5374 0.2136 0.1287
Br: 0.5849 0.7136 0.6762
Br: 0.9626 0.5914 0.1762
Br: 0.3238 0.7864 0.4151
Br: 0.0914 0.9151 0.1287
Br: 0.5914 0.9626 0.6762
Br: 0.7136 0.5849 0.1762
Br: 0.7864 0.4626 0.3713
Br: 0.8238 0.9086 0.0374
Br: 0.1287 0.7136 0.5374
Br: 0.3713 0.4086 0.0849
Br: 0.0849 0.9086 0.3713
Br: 0.4151 0.1287 0.5914
Br: 0.0849 0.1762 0.2136
Br: 0.4626 0.6762 0.0914
Br: 0.8238 0.9151 0.2864
Br: 0.1287 0.4151 0.0914
Br: 0.3713 0.9626 0.7864
Br: 0.5914 0.6287 0.4151
Br: 0.9086 0.8238 0.5374
Br: 0.7864 0.3238 0.9151
Br: 0.4086 0.3713 0.5849
Br: 0.0914 0.1762 0.4626
Br: 0.2136 0.6762 0.0849
Br: 0.1762 0.0849 0.7136
Br: 0.6287 0.0374 0.2136
Br: 0.8713 0.5849 0.9086
Br: 0.5374 0.3238 0.9086
Br: 0.5849 0.8713 0.4086
Br: 0.9151 0.8238 0.7864
Br: 0.9151 0.0914 0.6287
Br: 0.8713 0.2864 0.4626
Br: 0.1762 0.0914 0.9626
Br: 0.6287 0.5914 0.9151
Br: 0.4086 0.0374 0.3238
Br: 0.2864 0.4151 0.8238
Br: 0.2136 0.5374 0.6287
Br: 0.9086 0.0849 0.8713
Br: 0.6762 0.2136 0.5849
Br: 0.4626 0.7864 0.8713
Br: 0.0374 0.4086 0.8238
Br: 0.4151 0.2864 0.3238
Br: 0.0374 0.6287 0.7136
Br: 0.6762 0.4626 0.5914
Br: 0.2864 0.8713 0.9626

Results
For the formation energy from raw total energies, the calculation gives -0.702 eV per atom. The calculation puts the magnetization at 0.0 μB/cell. The space-group type is Ia-3d, No. 230. The total energy comes out at -1.979 eV per atom.

***

# 6
The following is a PBE calculation of a geometry-optimized NaHgBr3 structure, from Alexandria via LeMat-Bulk.

Lattice parameters (Å, degrees): 5.9097 8.0217 10.2149 58.65 122.46 108.63
Sites, in units of the cell vectors:
Na: 0.8479 0.2345 0.7445
Na: 0.6366 0.6695 0.0377
Hg: 0.6242 0.7056 0.6361
Hg: 0.8605 0.1989 0.1461
Br: 0.4112 0.3049 0.8017
Br: 0.0736 0.5997 0.9806
Br: 0.7668 0.2777 0.3219
Br: 0.4355 0.9310 0.6578
Br: 0.0491 0.9735 0.1243
Br: 0.7182 0.6265 0.4606

Results
For the formation energy from raw total energies, the calculation gives -0.858 eV per atom. The calculation puts the magnetization at 0.0 μB/cell. The space-group type is P-1, No. 2. The total energy comes out at -2.186 eV per atom. The calculation puts the energy above the most stable polymorph in this dataset at 0.0042 eV/atom.

***

# 7
The following is a PBE calculation of a geometry-optimized NaHg3Br structure, from Alexandria via LeMat-Bulk.

Lattice parameters (Å, degrees): 5.7874 5.7874 5.7874 90.00 90.00 90.00
Sites, in units of the cell vectors:
Na: 0.0000 0.0000 0.0000
Hg: 0.0000 0.5000 0.0000
Hg: 0.0000 0.0000 0.5000
Hg: 0.5000 0.0000 0.0000
Br: 0.5000 0.5000 0.5000

Results
For the formation energy from raw total energies, the calculation gives -0.149 eV per atom. The calculation puts the magnetization at 0.0 μB/cell. The space-group type is Pm-3m, No. 221. The total energy comes out at -0.929 eV per atom.

***

# 8
The following is a PBE calculation of a geometry-optimized Na2Hg2Br7 structure, from Alexandria via LeMat-Bulk.

Lattice parameters (Å, degrees): 6.8525 8.0380 8.0380 110.42 101.08 101.08
Sites, in units of the cell vectors:
Na: 0.0000 0.3067 0.6933
Na: 0.0000 0.6933 0.3067
Hg: 0.3461 0.2572 0.2572
Hg: 0.6539 0.7428 0.7428
Br: 0.7463 0.9035 0.5348
Br: 0.2537 0.4652 0.0965
Br: 0.2537 0.0965 0.4652
Br: 0.7463 0.5348 0.9035
Br: 0.5000 0.0000 0.0000
Br: 0.2015 0.6512 0.6512
Br: 0.7985 0.3488 0.3488

Results
For the formation energy from raw total energies, the calculation gives -0.725 eV per atom. The calculation puts the magnetization at 0.0 μB/cell. The space-group type is C2/m, No. 12. The total energy comes out at -2.085 eV per atom.

***

# 9
The following is a PBE calculation of a geometry-optimized NaHgBr structure, from Alexandria via LeMat-Bulk.

Lattice parameters (Å, degrees): 4.1932 4.2993 20.0272 90.00 90.00 90.00
Sites, in units of the cell vectors:
Na: 0.2158 0.7500 0.8209
Na: 0.2842 0.7500 0.3209
Na: 0.7842 0.2500 0.1791
Na: 0.7158 0.2500 0.6791
Hg: 0.2496 0.2500 0.5057
Hg: 0.2504 0.2500 0.0057
Hg: 0.7504 0.7500 0.4943
Hg: 0.7496 0.7500 0.9943
Br: 0.2161 0.7500 0.6729
Br: 0.2839 0.7500 0.1729
Br: 0.7839 0.2500 0.3271
Br: 0.7161 0.2500 0.8271

Results
For the formation energy from raw total energies, the calculation gives -0.957 eV per atom. The calculation puts the magnetization at 0.0 μB/cell. The space-group type is Pnma, No. 62. The total energy comes out at -2.055 eV per atom. The calculation puts the energy above the most stable polymorph in this dataset at 0.0000 eV/atom.